No. 1
# LaPrErMg

A geometry-optimized LaPrErMg structure (PBE, Alexandria).

Summary:
The value obtained for the density of states at the Fermi level is 4.86 states/eV/cell. The energy above the most stable polymorph in this dataset comes out at 0.000 eV per atom. The calculation puts the formation energy from the elements at -27 meV per atom.

Geometry as CIF:
```
data_LaPrErMg
_symmetry_space_group_name_H-M 'P 4 m m'
_symmetry_Int_Tables_number 99
_cell_length_a 3.759
_cell_length_b 3.759
_cell_length_c 9.011
_cell_angle_alpha 90.00
_cell_angle_beta 90.00
_cell_angle_gamma 90.00
loop_
_symmetry_equiv_pos_as_xyz
'x,y,z'
'-y,x,z'
'-x,-y,z'
'y,-x,z'
'-x,y,z'
'y,x,z'
'x,-y,z'
'-y,-x,z'
loop_
_atom_site_label
_atom_site_type_symbol
_atom_site_fract_x
_atom_site_fract_y
_atom_site_fract_z
_atom_site_occupancy
La1 La 0.000 0.000 0.000 1
Pr1 Pr 0.500 0.500 0.712 1
Er1 Er 0.500 0.500 0.270 1
Mg1 Mg 0.000 0.000 0.478 1
```

No. 2
# TbDyY2

A geometry-optimized TbDyY2 structure (PBE, Alexandria).

Summary:
The value obtained for the density of states at the Fermi level is 18.01 states/eV/cell. The energy above the most stable polymorph in this dataset comes out at 0.012 eV per atom. The calculation puts the formation energy from the elements at 21 meV per atom.

Geometry as CIF:
```
data_TbDyY2
_symmetry_space_group_name_H-M 'R -3 m'
_symmetry_Int_Tables_number 166
_symmetry_space_group_name_Hall '-R 3 2"'
_cell_length_a 3.5622
_cell_length_b 3.5622
_cell_length_c 34.8284
_cell_angle_alpha 90.00
_cell_angle_beta 90.00
_cell_angle_gamma 120.00
loop_
_atom_site_label
_atom_site_type_symbol
_atom_site_fract_x
_atom_site_fract_y
_atom_site_fract_z
_atom_site_occupancy
Tb1 Tb 0.0000 0.0000 0.0000 1
Dy1 Dy 0.0000 0.0000 0.5000 1
Y1 Y 0.0000 0.0000 0.2499 1
```

No. 3
# TbScIrAu

A geometry-optimized TbScIrAu structure (PBE, Alexandria).

Summary:
The value obtained for the density of states at the Fermi level is 13.93 states/eV/cell. The calculation puts the formation energy from the elements at -797 meV per atom.

Geometry as CIF:
```
data_TbScIrAu
_symmetry_space_group_name_H-M 'F -4 3 m'
_symmetry_Int_Tables_number 216
_symmetry_space_group_name_Hall 'F -4 2 3'
_cell_length_a 6.861
_cell_length_b 6.861
_cell_length_c 6.861
_cell_angle_alpha 90.00
_cell_angle_beta 90.00
_cell_angle_gamma 90.00
loop_
_atom_site_label
_atom_site_type_symbol
_atom_site_fract_x
_atom_site_fract_y
_atom_site_fract_z
_atom_site_occupancy
Tb1 Tb 0.000 0.000 0.000 1
Sc1 Sc 0.000 0.000 0.500 1
Ir1 Ir 0.250 0.250 0.250 1
Au1 Au 0.250 0.250 0.750 1
```

No. 4
# TiSiHgBi2

A geometry-optimized TiSiHgBi2 structure (PBE, Alexandria).

Summary:
The value obtained for the density of states at the Fermi level is 7.00 states/eV/cell. The calculation puts the energy relative to the elements, uncorrected at 81.6 kJ per mole of atoms.

Geometry as CIF:
```
data_TiSiHgBi2
_symmetry_space_group_name_H-M 'P 4/m m m'
_symmetry_Int_Tables_number 123
_symmetry_space_group_name_Hall '-P 4 2'
_cell_length_a 5.485
_cell_length_b 5.485
_cell_length_c 4.862
_cell_angle_alpha 90.00
_cell_angle_beta 90.00
_cell_angle_gamma 90.00
loop_
_atom_site_label
_atom_site_type_symbol
_atom_site_fract_x
_atom_site_fract_y
_atom_site_fract_z
_atom_site_occupancy
Ti1 Ti 0.000 0.000 0.000 1
Si1 Si 0.500 0.500 0.500 1
Hg1 Hg 0.500 0.500 0.000 1
Bi1 Bi 0.000 0.500 0.500 1
```

No. 5
# CsNaGe2Os

A geometry-optimized CsNaGe2Os structure (PBE, Alexandria).

Summary:
The value obtained for the density of states at the Fermi level is 5.34 states/eV/cell. The calculation puts the formation energy from the elements at 2484 meV per atom.

Geometry as CIF:
```
data_CsNaGe2Os
_symmetry_space_group_name_H-M 'P 4/m m m'
_symmetry_Int_Tables_number 123
_symmetry_space_group_name_Hall '-P 4 2'
_cell_length_a 5.701
_cell_length_b 5.701
_cell_length_c 5.370
_cell_angle_alpha 90.00
_cell_angle_beta 90.00
_cell_angle_gamma 90.00
loop_
_atom_site_label
_atom_site_type_symbol
_atom_site_fract_x
_atom_site_fract_y
_atom_site_fract_z
_atom_site_occupancy
Cs1 Cs 0.000 0.000 0.000 1
Na1 Na 0.000 0.000 0.500 1
Ge1 Ge 0.000 0.500 0.000 1
Os1 Os 0.500 0.500 0.500 1
```

No. 6
# CePN3

A geometry-optimized CePN3 structure (PBE, Alexandria).

Summary:
The calculation puts the energy relative to the elements, uncorrected at -68.8 kJ per mole of atoms.

Geometry as CIF:
```
data_CePN3
_symmetry_space_group_name_H-M 'P n m a'
_symmetry_Int_Tables_number 62
_cell_length_a 5.922
_cell_length_b 5.552
_cell_length_c 8.135
_cell_angle_alpha 90.00
_cell_angle_beta 90.00
_cell_angle_gamma 90.00
loop_
_symmetry_equiv_pos_as_xyz
'x,y,z'
'-x,-y,-z'
'-x+1/2,-y,z+1/2'
'x+1/2,y,-z+1/2'
'x+1/2,-y+1/2,-z+1/2'
'-x+1/2,y+1/2,z+1/2'
'-x,y+1/2,-z'
'x,-y+1/2,z'
loop_
_atom_site_label
_atom_site_type_symbol
_atom_site_fract_x
_atom_site_fract_y
_atom_site_fract_z
_atom_site_occupancy
Ce1 Ce 0.223 0.250 0.093 1
P1 P 0.061 0.250 0.724 1
N1 N 0.072 0.250 0.532 1
N2 N 0.080 0.008 0.825 1
```

No. 7
# Y3InO

A geometry-optimized Y3InO structure (PBE, Alexandria).

Summary:
The value obtained for the density of states at the Fermi level is 23.97 states/eV/cell. The calculation puts the energy relative to the elements, uncorrected at -88.0 kJ per mole of atoms.

Geometry as CIF:
```
data_Y3InO
_symmetry_space_group_name_H-M 'C m c m'
_symmetry_Int_Tables_number 63
_symmetry_space_group_name_Hall '-C 2c 2'
_cell_length_a 9.846
_cell_length_b 8.830
_cell_length_c 6.508
_cell_angle_alpha 90.00
_cell_angle_beta 90.00
_cell_angle_gamma 90.00
loop_
_atom_site_label
_atom_site_type_symbol
_atom_site_fract_x
_atom_site_fract_y
_atom_site_fract_z
_atom_site_occupancy
Y1 Y 0.000 0.000 0.000 1
Y2 Y 0.185 0.340 0.250 1
In1 In 0.000 0.299 0.750 1
O1 O 0.000 0.453 0.250 1
```

No. 8
# Hf5ZrSc2

A geometry-optimized Hf5ZrSc2 structure (PBE, Alexandria).

Summary:
The value obtained for the density of states at the Fermi level is 25.34 states/eV/cell. The calculation puts the formation energy from the elements at 103 meV per atom.

Geometry as CIF:
```
data_Hf5ZrSc2
_symmetry_space_group_name_H-M 'I 4 m m'
_symmetry_Int_Tables_number 107
_symmetry_space_group_name_Hall 'I 4 -2'
_cell_length_a 7.044
_cell_length_b 7.044
_cell_length_c 7.374
_cell_angle_alpha 90.00
_cell_angle_beta 90.00
_cell_angle_gamma 90.00
loop_
_atom_site_label
_atom_site_type_symbol
_atom_site_fract_x
_atom_site_fract_y
_atom_site_fract_z
_atom_site_occupancy
Hf1 Hf 0.000 0.000 0.000 1
Hf2 Hf 0.218 0.218 0.705 1
Zr1 Zr 0.000 0.000 0.406 1
Sc1 Sc 0.000 0.500 0.456 1
```

No. 9
# Pm5ScAl6

A geometry-optimized Pm5ScAl6 structure (PBE, Alexandria).

Summary:
The value obtained for the density of states at the Fermi level is 9.10 states/eV/cell. The calculation puts the formation energy from the elements at -370 meV per atom.

Geometry as CIF:
```
data_Pm5ScAl6
_symmetry_space_group_name_H-M 'I m m m'
_symmetry_Int_Tables_number 71
_symmetry_space_group_name_Hall '-I 2 2'
_cell_length_a 5.184
_cell_length_b 7.230
_cell_length_c 15.534
_cell_angle_alpha 90.00
_cell_angle_beta 90.00
_cell_angle_gamma 90.00
loop_
_atom_site_label
_atom_site_type_symbol
_atom_site_fract_x
_atom_site_fract_y
_atom_site_fract_z
_atom_site_occupancy
Pm1 Pm 0.000 0.000 0.000 1
Pm2 Pm 0.000 0.000 0.322 1
Pm3 Pm 0.000 0.500 0.339 1
Sc1 Sc 0.000 0.500 0.000 1
Al1 Al 0.000 0.215 0.500 1
Al2 Al 0.000 0.269 0.159 1
```

| no. | M_tot (μB per cell) |
| --- | --- |
| 1 | 0.000 |
| 2 | 0.000 |
| 3 | 0.000 |
| 4 | 0.028 |
| 5 | 2.572 |
| 6 | 0.651 |
| 7 | 0.000 |
| 8 | 0.000 |
| 9 | 0.000 |